# 1
Material: LaTl2Ir
Method: DFT, PBE-GGA
State: optimized geometry

Calculated volume, Å³/cell: 218.6
E_form, meV per atom: -189
DOS(E_F), states/eV/atom: 0.70

a b c (Å): 5.5314 8.2256 4.8050
angles (deg): 90.00 90.00 90.00
Last column: nearest neighbours and their distance in Å.
Sites, in units of the cell vectors:
La: 0.0000 0.0000 0.0000  2 Ir 2.77
La: 0.5000 0.5000 0.0000  2 Ir 2.77
Tl: 0.0000 0.3180 0.5000  2 Ir 2.83, 3 Tl 2.98-2.99
Tl: 0.0000 0.6820 0.5000  2 Ir 2.83, 3 Tl 2.98-2.99
Tl: 0.5000 0.1820 0.5000  2 Ir 2.83, 3 Tl 2.98-2.99
Tl: 0.5000 0.8180 0.5000  2 Ir 2.83, 3 Tl 2.98-2.99
Ir: 0.0000 0.5000 0.0000  2 La 2.77, 4 Tl 2.83
Ir: 0.5000 0.0000 0.0000  2 La 2.77, 4 Tl 2.83

***

# 2
Material: BaRe2Os
Method: DFT, PBE-GGA
State: optimized geometry

Calculated volume, Å³/cell: 149.1
E_form, meV per atom: 1627
DOS(E_F), states/eV/atom: 1.39
Distance to the lowest polymorph of the same formula, kJ/mol of formula units: 317.1

a b c (Å): 5.6710 9.7052 2.8519
angles (deg): 90.00 108.18 90.00
Last column: nearest neighbours and their distance in Å.
Sites, in units of the cell vectors:
Ba: 0.0000 0.0000 0.0000  2 Os 2.84, 2 Ba 2.85, 4 Re 2.94
Ba: 0.5000 0.5000 0.0000  2 Os 2.84, 2 Ba 2.85, 4 Re 2.94
Re: 0.2500 0.2500 0.5000  4 Re 2.84-2.85, 2 Ba 2.94, 2 Os 2.94
Re: 0.2500 0.7500 0.5000  4 Re 2.84-2.85, 2 Ba 2.94, 2 Os 2.94
Re: 0.7500 0.2500 0.5000  4 Re 2.84-2.85, 2 Ba 2.94, 2 Os 2.94
Re: 0.7500 0.7500 0.5000  4 Re 2.84-2.85, 2 Ba 2.94, 2 Os 2.94
Os: 0.0000 0.5000 0.0000  2 Ba 2.84, 2 Os 2.85, 4 Re 2.94
Os: 0.5000 0.0000 0.0000  2 Ba 2.84, 2 Os 2.85, 4 Re 2.94

***

# 3
Material: In2TeAs
Method: DFT, PBE-GGA
State: optimized geometry

Calculated volume, Å³/cell: 107.1
DOS(E_F), states/eV/atom: 0.37
Distance to the lowest polymorph of the same formula, kJ/mol of formula units: 94.5
Formation energy from raw total energies, kJ/mol of atoms: 8

a b c (Å): 3.0757 5.8103 6.0003
angles (deg): 90.00 92.43 90.00
Last column: nearest neighbours and their distance in Å.
Sites, in units of the cell vectors:
In: 0.2182 0.0000 0.2441  4 In 3.08-3.40, 2 As 3.31, 2 Te 3.37
In: 0.7818 0.0000 0.7559  4 In 3.08-3.40, 2 As 3.31, 2 Te 3.37
Te: 0.0000 0.5000 0.5000  2 As 3.00, 2 Te 3.08
As: 0.0000 0.5000 0.0000  2 Te 3.00, 2 As 3.08, 4 In 3.31

***

# 4
Material: Ba5Al2As6
Method: DFT, PBE-GGA
State: optimized geometry

Calculated volume, Å³/cell: 832.0
E_form, meV per atom: -933
DOS(E_F), states/eV/atom: 0.08

a b c (Å): 12.8510 14.5452 4.4513
angles (deg): 90.00 90.00 90.00
Last column: nearest neighbours and their distance in Å.
Sites, in units of the cell vectors:
Ba: 0.0000 0.0000 0.0000  6 As 3.41-3.57
Ba: 0.0882 0.2569 0.0000  6 As 3.28-3.36
Ba: 0.1733 0.5132 0.0000  6 As 3.32-3.45, 2 Al 3.57
Ba: 0.3267 0.0132 0.0000  6 As 3.32-3.45, 2 Al 3.57
Ba: 0.4118 0.7569 0.0000  6 As 3.28-3.36
Ba: 0.5000 0.5000 0.0000  6 As 3.41-3.57
Ba: 0.5882 0.2431 0.0000  6 As 3.28-3.36
Ba: 0.6733 0.9868 0.0000  6 As 3.32-3.45, 2 Al 3.57
Ba: 0.8267 0.4868 0.0000  6 As 3.32-3.45, 2 Al 3.57
Ba: 0.9118 0.7431 0.0000  6 As 3.28-3.36
Al: 0.1765 0.7049 0.5000  3 As 2.53-2.62
Al: 0.3235 0.2049 0.5000  3 As 2.53-2.62
Al: 0.6765 0.7951 0.5000  3 As 2.53-2.62
Al: 0.8235 0.2951 0.5000  3 As 2.53-2.62
As: 0.0028 0.4122 0.5000  1 As 2.56
As: 0.1592 0.7989 0.0000  2 Al 2.62
As: 0.1641 0.1033 0.5000  1 Al 2.53
As: 0.3359 0.6033 0.5000  1 Al 2.53
As: 0.3408 0.2989 0.0000  2 Al 2.62
As: 0.4972 0.9122 0.5000  1 As 2.56
As: 0.5028 0.0878 0.5000  1 As 2.56
As: 0.6592 0.7011 0.0000  2 Al 2.62
As: 0.6641 0.3967 0.5000  1 Al 2.53
As: 0.8359 0.8967 0.5000  1 Al 2.53
As: 0.8408 0.2011 0.0000  2 Al 2.62
As: 0.9972 0.5878 0.5000  1 As 2.56